## YCuRu2 (PBE-GGA)

Data for an optimized crystal structure of YCuRu2.

Calculated values
Energy ... -28.6 eV per formula unit
ρ ... 8.92 g/cm3
ΔE to the lowest computed polymorph ... 0.058 eV per atom

```
YCuRu2
1.0
-2.101 2.101 3.739
2.101 -2.101 3.739
2.101 2.101 -3.739
Y Cu Ru
1 1 2
direct
0.000 0.000 0.000 Y
0.250 0.750 0.500 Cu
0.500 0.500 0.000 Ru
0.750 0.250 0.500 Ru
```

## YCuRu3 (PBE-GGA)

Data for an optimized crystal structure of YCuRu3.

Calculated values
Energy ... -33.9 eV per formula unit
ρ ... 8.15 g/cm3
ΔE to the lowest computed polymorph ... 0.000 eV per atom

```
YCuRu3
1.0
4.528 0.000 0.000
0.000 4.528 0.000
0.000 0.000 4.528
Y Cu Ru
1 1 3
direct
0.000 0.000 0.000 Y
0.500 0.500 0.500 Cu
0.000 0.500 0.500 Ru
0.500 0.000 0.500 Ru
0.500 0.500 0.000 Ru
```

## YCu2Ru (PBE-GGA)

Data for an optimized crystal structure of YCu2Ru.

Calculated values
Energy ... -21.8 eV per formula unit
ρ ... 8.01 g/cm3
ΔE to the lowest computed polymorph ... 0.579 eV per atom

```
YCu2Ru
1.0
1.441 0.832 9.141
-1.441 0.832 9.141
0.000 -1.664 9.141
Y Cu Ru
1 2 1
direct
0.000 0.000 0.000 Y
0.241 0.241 0.241 Cu
0.759 0.759 0.759 Cu
0.500 0.500 0.500 Ru
```

Respective formation energy from the elements values: 134; 904; 539 meV/atom.